Density functional theory data (GGA-PBE) for a relaxed CdAgHgRh crystal.

Output
formation enthalpy at 0 K	0.037	eV per atom
space group	No. 216
size of the total moment	0.0000	μB per atom
E_tot	-11.3	eV for the cell shown
crystal system	cubic

Unit cell a=4.689 b=4.689 c=4.689 alpha=60.00 beta=60.00 gamma=60.00
Sites, in units of the cell vectors:
Cd (0.750, 0.750, 0.750)
Ag (0.000, 0.000, 0.000)
Hg (0.250, 0.250, 0.250)
Rh (0.500, 0.500, 0.500)